# ScReS2, optimized geometry, DFT PBE
data_ScReS2
_cell_length_a 7.2807
_cell_length_b 7.2807
_cell_length_c 7.2807
_cell_angle_alpha 139.56
_cell_angle_beta 139.56
_cell_angle_gamma 58.53
_symmetry_space_group_name_H-M 'P 1'
_symmetry_Int_Tables_number 1
loop_
_symmetry_equiv_pos_as_xyz
'x,y,z'
loop_
_atom_site_label
_atom_site_type_symbol
_atom_site_fract_x
_atom_site_fract_y
_atom_site_fract_z
Sc1 Sc 0.0000 0.0000 0.0000
Sc2 Sc 0.7500 0.2500 0.5000
Re1 Re 0.2500 0.7500 0.5000
Re2 Re 0.5000 0.5000 0.0000
S1 S 0.1640 0.6250 0.0390
S2 S 0.3750 0.4140 0.5390
S3 S 0.5860 0.1250 0.9610
S4 S 0.8750 0.8360 0.4610
# Raw formation energy   -0.55 eV/atom
# Energy above the most stable polymorph in this dataset   0.0000 eV per atom
# Total magnetization   0.00 Bohr magnetons per cell